Compound: SrTlBi2P
Source: Alexandria
Functional: GGA-PBEsol
Structure: relaxed

Unit cell a=5.4656 b=5.4656 c=5.5470 alpha=90.00 beta=90.00 gamma=90.00
Closest atoms and distances in Å follow each position.
Positions (direct):
Sr1 0.0000 0.0000 0.5000  2 P 2.77
Tl1 0.5000 0.5000 0.5000  4 Sr 3.86, 8 Bi 3.89
Bi1 0.0000 0.5000 0.0000  2 P 2.73
Bi2 0.5000 0.0000 0.0000  2 P 2.73
P1 0.0000 0.0000 0.0000  4 Bi 2.73, 2 Sr 2.77

Values from the calculation:
Symmetry ... P4/mmm, No. 123
Energy ... -19.3 eV/cell
Spin magnetization ... 0.000 μB/atom
N(E_F) ... 0.51 states/eV/atom
DFT formation energy ... -0.437 eV/f.u.